First-principles (meta-GGA SCAN) data for TaSb2Te at its PBEsol-relaxed geometry, as listed in Alexandria.

Properties
Total magnetization = 0.00 μB/atom
E_form (uncorrected) = 0.083 eV per atom
E = -44.506 eV per atom
Space group = P4mm

Cell: 3.495 3.495 7.604 Å, 90.00 90.00 90.00°
Atoms (fractional coordinates):
Sb1 0.000 0.000 0.041
Sb2 0.500 0.500 0.282
Ta1 0.000 0.000 0.481
Te1 0.500 0.500 0.696